Compound: TaAlB
Source: Alexandria
Functional: PBE
Structure: optimized geometry

Cell lengths 5.809, 5.809, 4.451 Å; angles 101.34, 101.34, 30.92 degrees
Positions (direct):
Ta  0.142  0.142  0.328
Ta  0.858  0.858  0.672
Al  0.427  0.427  0.216
Al  0.573  0.573  0.784
B  0.236  0.236  0.883
B  0.764  0.764  0.117

Distance to the lowest polymorph of the same formula, meV/atom: 184.0
Space group: C2/m (12)

Compound: TaAlB
Source: Alexandria
Functional: PBE
Structure: optimized geometry

Cell lengths 7.480, 7.480, 3.110 Å; angles 90.00, 90.00, 154.12 degrees
Positions (direct):
Ta  0.089  0.911  0.750
Ta  0.911  0.089  0.250
Al  0.299  0.701  0.750
Al  0.701  0.299  0.250
B  0.469  0.531  0.750
B  0.531  0.469  0.250

Distance to the lowest polymorph of the same formula, meV/atom: 0.0
Space group: Cmcm (63)

Compound: Ta5AlB2
Source: Alexandria
Functional: PBE
Structure: optimized geometry

Cell lengths 7.383, 7.383, 7.383 Å; angles 129.49, 129.49, 74.23 degrees
Positions (direct):
Ta  0.000  0.000  0.000
Ta  0.033  0.533  0.836
Ta  0.197  0.033  0.500
Ta  0.303  0.803  0.836
Ta  0.467  0.303  0.500
Ta  0.500  0.500  0.000
Ta  0.533  0.697  0.500
Ta  0.697  0.197  0.164
Ta  0.803  0.967  0.500
Ta  0.967  0.467  0.164
Al  0.250  0.250  0.000
Al  0.750  0.750  0.000
B  0.120  0.380  0.500
B  0.380  0.880  0.260
B  0.620  0.120  0.740
B  0.880  0.620  0.500

VASP energy, eV per atom: -10.021
Space group: I4/mcm (140)

Compound: TaAlB
Source: Alexandria
Functional: PBE
Structure: optimized geometry

Cell lengths 5.308, 5.308, 5.905 Å; angles 118.37, 118.37, 35.12 degrees
Positions (direct):
Ta  0.000  0.000  0.000
Ta  0.743  0.743  0.449
Al  0.058  0.058  0.571
Al  0.325  0.325  0.157
B  0.312  0.312  0.778
B  0.439  0.439  0.665

Distance to the lowest polymorph of the same formula, meV/atom: 307.5
Space group: Cm (8)

Compound: TaAlB
Source: Alexandria
Functional: PBE
Structure: optimized geometry

Cell lengths 4.728, 4.728, 6.158 Å; angles 122.92, 122.92, 41.56 degrees
Positions (direct):
Ta  0.080  0.080  0.341
Ta  0.920  0.920  0.659
Al  0.318  0.318  0.911
Al  0.682  0.682  0.089
B  0.382  0.382  0.355
B  0.618  0.618  0.645

Distance to the lowest polymorph of the same formula, meV/atom: 117.0
Space group: C2/m (12)

Compound: TaAlB
Source: Alexandria
Functional: PBE
Structure: optimized geometry

Cell lengths 4.567, 3.008, 5.630 Å; angles 90.00, 91.21, 90.00 degrees
Positions (direct):
Ta  0.117  0.250  0.281
Ta  0.883  0.750  0.719
Al  0.374  0.250  0.830
Al  0.626  0.750  0.170
B  0.395  0.750  0.530
B  0.605  0.250  0.470

Distance to the lowest polymorph of the same formula, meV/atom: 239.5
Space group: P2_1/m (11)